A plane-wave DFT calculation with PBE-GGA was carried out for a relaxed Si3Pd2Pt5 crystal.

DFT total energy (eV/atom): -6.32

a = 12.033 Å, b = 12.033 Å, c = 6.459 Å
α = 90.00°, β = 90.00°, γ = 161.17°
Fractional positions:
Si (0.042, 0.958, 0.500)
Si (0.219, 0.781, 0.617)
Si (0.390, 0.610, 0.524)
Si (0.610, 0.390, 0.024)
Si (0.781, 0.219, 0.117)
Si (0.958, 0.042, 0.000)
Pd (0.172, 0.828, 0.152)
Pd (0.474, 0.526, 0.303)
Pd (0.526, 0.474, 0.803)
Pd (0.828, 0.172, 0.652)
Pt (0.051, 0.949, 0.125)
Pt (0.119, 0.881, 0.739)
Pt (0.283, 0.717, 0.908)
Pt (0.300, 0.700, 0.349)
Pt (0.401, 0.599, 0.908)
Pt (0.599, 0.401, 0.408)
Pt (0.700, 0.300, 0.849)
Pt (0.717, 0.283, 0.408)
Pt (0.881, 0.119, 0.239)
Pt (0.949, 0.051, 0.625)

---

A plane-wave DFT calculation with PBE-GGA was carried out for a relaxed ZrInOs crystal.

Formation enthalpy at 0 K (meV/atom): -6.4

a = 4.645 Å, b = 4.645 Å, c = 3.062 Å
α = 90.00°, β = 90.00°, γ = 120.00°
Fractional positions:
Zr (0.000, 0.000, 0.000)
In (0.667, 0.333, 0.476)
Os (0.333, 0.667, 0.664)

---

A plane-wave DFT calculation with PBE-GGA was carried out for a relaxed BaMnMoRh2 crystal.

Formation enthalpy at 0 K (meV/atom): 2323.7

a = 5.010 Å, b = 5.010 Å, c = 5.106 Å
α = 90.00°, β = 90.00°, γ = 90.00°
Fractional positions:
Ba (0.000, 0.000, 0.000)
Mn (0.000, 0.000, 0.500)
Mo (0.500, 0.500, 0.500)
Rh (0.000, 0.500, 0.000)
Rh (0.500, 0.000, 0.000)

---

A plane-wave DFT calculation with PBE-GGA was carried out for a relaxed TiSnF3 crystal.

DFT total energy (eV/atom): -5.52

a = 4.246 Å, b = 4.246 Å, c = 4.246 Å
α = 90.00°, β = 90.00°, γ = 90.00°
Fractional positions:
Ti (0.000, 0.000, 0.000)
Sn (0.500, 0.500, 0.500)
F (0.000, 0.000, 0.500)
F (0.000, 0.500, 0.000)
F (0.500, 0.000, 0.000)

---

A plane-wave DFT calculation with PBE-GGA was carried out for a relaxed Rb2TePbS crystal.

DFT total energy (eV/atom): -3.42

a = 9.508 Å, b = 4.665 Å, c = 10.197 Å
α = 90.00°, β = 104.05°, γ = 90.00°
Fractional positions:
Rb (0.137, 0.250, 0.401)
Rb (0.289, 0.250, 0.891)
Rb (0.711, 0.750, 0.109)
Rb (0.863, 0.750, 0.599)
Te (0.352, 0.750, 0.192)
Te (0.648, 0.250, 0.808)
Pb (0.482, 0.750, 0.630)
Pb (0.518, 0.250, 0.370)
S (0.217, 0.750, 0.653)
S (0.783, 0.250, 0.347)

---

A plane-wave DFT calculation with PBE-GGA was carried out for a relaxed ZrSb2Ir crystal.

DFT total energy (eV/atom): -6.34

a = 5.415 Å, b = 5.415 Å, c = 5.415 Å
α = 133.00°, β = 133.00°, γ = 68.65°
Fractional positions:
Zr (0.000, 0.000, 0.000)
Sb (0.250, 0.750, 0.500)
Sb (0.750, 0.250, 0.500)
Ir (0.500, 0.500, 0.000)

---

A plane-wave DFT calculation with PBE-GGA was carried out for a relaxed TbIn2Ni crystal.

Formation enthalpy at 0 K (meV/atom): -439.7

a = 5.685 Å, b = 5.685 Å, c = 7.389 Å
α = 90.00°, β = 90.00°, γ = 134.85°
Fractional positions:
Tb (0.068, 0.932, 0.750)
Tb (0.932, 0.068, 0.250)
In (0.356, 0.644, 0.549)
In (0.356, 0.644, 0.951)
In (0.644, 0.356, 0.049)
In (0.644, 0.356, 0.451)
Ni (0.212, 0.788, 0.250)
Ni (0.788, 0.212, 0.750)

---

A plane-wave DFT calculation with PBE-GGA was carried out for a relaxed ErTc2Ge2 crystal.

Formation enthalpy at 0 K (meV/atom): -295.1

a = 5.778 Å, b = 5.778 Å, c = 7.392 Å
α = 100.26°, β = 100.26°, γ = 122.89°
Fractional positions:
Er (0.125, 0.875, 0.750)
Er (0.875, 0.125, 0.250)
Tc (0.266, 0.516, 0.032)
Tc (0.484, 0.734, 0.468)
Tc (0.516, 0.266, 0.532)
Tc (0.734, 0.484, 0.968)
Ge (0.178, 0.822, 0.250)
Ge (0.428, 0.572, 0.750)
Ge (0.572, 0.428, 0.250)
Ge (0.822, 0.178, 0.750)

---

A plane-wave DFT calculation with PBE-GGA was carried out for a relaxed TaNb2Al crystal.

Formation enthalpy at 0 K (meV/atom): 69.2

a = 10.032 Å, b = 10.032 Å, c = 10.032 Å
α = 16.66°, β = 16.66°, γ = 16.66°
Fractional positions:
Ta (0.000, 0.000, 0.000)
Nb (0.246, 0.246, 0.246)
Nb (0.754, 0.754, 0.754)
Al (0.500, 0.500, 0.500)

---

A plane-wave DFT calculation with PBE-GGA was carried out for a relaxed La2PW crystal.

Formation enthalpy at 0 K (meV/atom): 388.2

a = 6.475 Å, b = 6.475 Å, c = 6.475 Å
α = 104.17°, β = 104.17°, γ = 120.69°
Fractional positions:
La (0.122, 0.625, 0.997)
La (0.375, 0.372, 0.497)
La (0.628, 0.125, 0.003)
La (0.875, 0.878, 0.503)
P (0.000, 0.000, 0.000)
P (0.750, 0.250, 0.500)
W (0.250, 0.750, 0.500)
W (0.500, 0.500, 0.000)

---

A plane-wave DFT calculation with PBE-GGA was carried out for a relaxed Sm2Co12Ge7 crystal.

Formation enthalpy at 0 K (meV/atom): -321.1

a = 9.371 Å, b = 9.371 Å, c = 3.788 Å
α = 90.00°, β = 90.00°, γ = 120.00°
Fractional positions:
Sm (0.000, 0.000, 0.000)
Sm (0.333, 0.667, 0.500)
Co (0.043, 0.282, 0.500)
Co (0.106, 0.720, 0.000)
Co (0.239, 0.957, 0.500)
Co (0.280, 0.386, 0.000)
Co (0.387, 0.184, 0.000)
Co (0.557, 0.435, 0.500)
Co (0.565, 0.122, 0.500)
Co (0.614, 0.894, 0.000)
Co (0.718, 0.761, 0.500)
Co (0.797, 0.613, 0.000)
Co (0.816, 0.203, 0.000)
Co (0.878, 0.443, 0.500)
Ge (0.062, 0.449, 0.000)
Ge (0.267, 0.230, 0.500)
Ge (0.386, 0.938, 0.000)
Ge (0.551, 0.614, 0.000)
Ge (0.667, 0.333, 0.000)
Ge (0.770, 0.038, 0.500)
Ge (0.962, 0.733, 0.500)

---

A plane-wave DFT calculation with PBE-GGA was carried out for a relaxed NbAg2PtRh crystal.

Formation enthalpy at 0 K (meV/atom): 1154.3

a = 4.928 Å, b = 4.928 Å, c = 4.615 Å
α = 90.00°, β = 90.00°, γ = 90.00°
Fractional positions:
Nb (0.000, 0.000, 0.000)
Ag (0.000, 0.500, 0.500)
Ag (0.500, 0.000, 0.500)
Pt (0.500, 0.500, 0.000)
Rh (0.000, 0.000, 0.500)

---

A plane-wave DFT calculation with PBE-GGA was carried out for a relaxed Ir2OsRu crystal.

Formation enthalpy at 0 K (meV/atom): 12.4

a = 2.724 Å, b = 3.869 Å, c = 5.427 Å
α = 90.00°, β = 90.00°, γ = 90.00°
Fractional positions:
Ir (0.000, 0.000, 0.250)
Ir (0.000, 0.000, 0.750)
Os (0.500, 0.500, 0.000)
Ru (0.500, 0.500, 0.500)

---

A plane-wave DFT calculation with PBE-GGA was carried out for a relaxed K2NbAuI crystal.

DFT total energy (eV/atom): -2.59

a = 6.586 Å, b = 6.586 Å, c = 5.487 Å
α = 90.00°, β = 90.00°, γ = 90.00°
Fractional positions:
K (0.000, 0.500, 0.000)
K (0.500, 0.000, 0.000)
Nb (0.000, 0.000, 0.500)
Au (0.500, 0.500, 0.500)
I (0.500, 0.500, 0.000)

---

A plane-wave DFT calculation with PBE-GGA was carried out for a relaxed Nd2Al6Rh crystal.

Formation enthalpy at 0 K (meV/atom): -542.7

a = 6.005 Å, b = 6.005 Å, c = 5.736 Å
α = 90.00°, β = 90.00°, γ = 120.00°
Fractional positions:
Nd (0.333, 0.667, 0.334)
Nd (0.667, 0.333, 0.666)
Al (0.171, 0.343, 0.813)
Al (0.171, 0.829, 0.813)
Al (0.343, 0.171, 0.187)
Al (0.657, 0.829, 0.813)
Al (0.829, 0.171, 0.187)
Al (0.829, 0.657, 0.187)
Rh (0.000, 0.000, 0.500)

---

A plane-wave DFT calculation with PBE-GGA was carried out for a relaxed Nd4Sm2O crystal.

DFT total energy (eV/atom): -5.40

a = 9.622 Å, b = 9.622 Å, c = 9.622 Å
α = 150.11°, β = 150.11°, γ = 42.78°
Fractional positions:
Nd (0.000, 0.500, 0.500)
Nd (0.138, 0.138, 0.000)
Nd (0.500, 0.000, 0.500)
Nd (0.862, 0.862, 0.000)
Sm (0.339, 0.339, 0.000)
Sm (0.661, 0.661, 0.000)
O (0.000, 0.000, 0.000)

---

A plane-wave DFT calculation with PBE-GGA was carried out for a relaxed Nb3CrSe6 crystal.

DFT total energy (eV/atom): -6.92

a = 6.060 Å, b = 6.060 Å, c = 12.814 Å
α = 90.00°, β = 90.00°, γ = 120.00°
Fractional positions:
Nb (0.000, 0.000, 0.000)
Nb (0.000, 0.000, 0.500)
Nb (0.333, 0.667, 0.000)
Nb (0.333, 0.667, 0.500)
Nb (0.667, 0.333, 0.000)
Nb (0.667, 0.333, 0.500)
Cr (0.333, 0.667, 0.250)
Cr (0.667, 0.333, 0.750)
Se (0.004, 0.333, 0.869)
Se (0.004, 0.671, 0.631)
Se (0.329, 0.333, 0.631)
Se (0.329, 0.996, 0.869)
Se (0.333, 0.004, 0.131)
Se (0.333, 0.329, 0.369)
Se (0.667, 0.671, 0.869)
Se (0.667, 0.996, 0.631)
Se (0.671, 0.004, 0.369)
Se (0.671, 0.667, 0.131)
Se (0.996, 0.329, 0.131)
Se (0.996, 0.667, 0.369)

---

A plane-wave DFT calculation with PBE-GGA was carried out for a relaxed PmLuAgRu crystal.

Formation enthalpy at 0 K (meV/atom): -305.6

a = 4.978 Å, b = 4.978 Å, c = 4.978 Å
α = 60.00°, β = 60.00°, γ = 60.00°
Fractional positions:
Pm (0.000, 0.000, 0.000)
Lu (0.500, 0.500, 0.500)
Ag (0.750, 0.750, 0.750)
Ru (0.250, 0.250, 0.250)

---

A plane-wave DFT calculation with PBE-GGA was carried out for a relaxed Ce5Sb4 crystal.

DFT total energy (eV/atom): -5.84

a = 9.170 Å, b = 9.170 Å, c = 9.170 Å
α = 93.19°, β = 93.19°, γ = 152.72°
Fractional positions:
Ce (0.000, 0.000, 0.000)
Ce (0.275, 0.596, 0.871)
Ce (0.404, 0.275, 0.679)
Ce (0.596, 0.725, 0.321)
Ce (0.725, 0.404, 0.129)
Sb (0.093, 0.766, 0.859)
Sb (0.234, 0.093, 0.327)
Sb (0.766, 0.907, 0.673)
Sb (0.907, 0.234, 0.141)

---

A plane-wave DFT calculation with PBE-GGA was carried out for a relaxed Er3Tm2Sc2 crystal.

Formation enthalpy at 0 K (meV/atom): 45.3

a = 5.930 Å, b = 5.930 Å, c = 7.685 Å
α = 97.60°, β = 97.60°, γ = 48.43°
Fractional positions:
Er (0.000, 0.000, 0.000)
Er (0.144, 0.144, 0.429)
Er (0.856, 0.856, 0.571)
Tm (0.428, 0.428, 0.280)
Tm (0.572, 0.572, 0.720)
Sc (0.285, 0.285, 0.859)
Sc (0.715, 0.715, 0.141)

---

A plane-wave DFT calculation with PBE-GGA was carried out for a relaxed MgMo2C crystal.

Formation enthalpy at 0 K (meV/atom): 1482.0

a = 4.219 Å, b = 4.219 Å, c = 4.219 Å
α = 60.00°, β = 60.00°, γ = 60.00°
Fractional positions:
Mg (0.000, 0.000, 0.000)
Mo (0.250, 0.250, 0.250)
Mo (0.750, 0.750, 0.750)
C (0.500, 0.500, 0.500)

---

A plane-wave DFT calculation with PBE-GGA was carried out for a relaxed TaCd3Pd6 crystal.

Formation enthalpy at 0 K (meV/atom): -388.2

a = 8.802 Å, b = 4.142 Å, c = 9.264 Å
α = 90.00°, β = 93.49°, γ = 90.00°
Fractional positions:
Ta (0.058, 0.250, 0.378)
Ta (0.942, 0.750, 0.622)
Cd (0.245, 0.250, 0.007)
Cd (0.349, 0.750, 0.802)
Cd (0.451, 0.250, 0.601)
Cd (0.549, 0.750, 0.399)
Cd (0.651, 0.250, 0.198)
Cd (0.755, 0.750, 0.993)
Pd (0.051, 0.750, 0.898)
Pd (0.137, 0.250, 0.686)
Pd (0.147, 0.750, 0.210)
Pd (0.230, 0.750, 0.499)
Pd (0.346, 0.250, 0.305)
Pd (0.447, 0.750, 0.102)
Pd (0.553, 0.250, 0.898)
Pd (0.654, 0.750, 0.695)
Pd (0.770, 0.250, 0.501)
Pd (0.853, 0.250, 0.790)
Pd (0.863, 0.750, 0.314)
Pd (0.949, 0.250, 0.102)

---

A plane-wave DFT calculation with PBE-GGA was carried out for a relaxed SrAl2Ni crystal.

Formation enthalpy at 0 K (meV/atom): -213.8

a = 3.138 Å, b = 3.151 Å, c = 7.731 Å
α = 90.00°, β = 90.00°, γ = 90.00°
Fractional positions:
Sr (0.000, 0.000, 0.000)
Al (0.500, 0.500, 0.328)
Al (0.500, 0.500, 0.672)
Ni (0.000, 0.000, 0.500)

---

A plane-wave DFT calculation with PBE-GGA was carried out for a relaxed BaAgP2 crystal.

Formation enthalpy at 0 K (meV/atom): -167.8

a = 5.879 Å, b = 5.879 Å, c = 5.879 Å
α = 145.36°, β = 122.92°, γ = 68.52°
Fractional positions:
Ba (0.000, 0.000, 0.000)
Ag (0.692, 0.192, 0.500)
P (0.302, 0.802, 0.500)
P (0.457, 0.457, 0.000)

---

| no. | total magnetization (μB/f.u.) |
| --- | --- |
| 1 | 0.0 |
| 2 | 0.0 |
| 3 | 8.4 |
| 4 | 1.7 |
| 5 | 0.0 |
| 6 | 0.0 |
| 7 | 0.0 |
| 8 | 0.0 |
| 9 | 0.0 |
| 10 | 1.7 |
| 11 | 3.4 |
| 12 | 0.5 |
| 13 | 0.0 |
| 14 | 4.5 |
| 15 | 0.0 |
| 16 | 0.0 |
| 17 | 3.0 |
| 18 | 0.0 |
| 19 | 6.3 |
| 20 | 0.0 |
| 21 | 0.0 |
| 22 | 0.0 |
| 23 | 0.0 |
| 24 | 0.0 |